Material: GaCoMoO6
Method: DFT, PBE with a Hubbard U
State: optimized geometry

a b c (Å): 4.583 4.583 8.877
angles (deg): 90.00 90.00 90.00
Element x y z (fractional)
Ga1 0.000 0.000 0.000
Ga2 0.500 0.500 0.500
Co1 0.000 0.000 0.672
Co2 0.500 0.500 0.172
Mo1 0.000 0.000 0.335
Mo2 0.500 0.500 0.835
O1 0.192 0.192 0.503
O2 0.195 0.195 0.833
O3 0.203 0.203 0.177
O4 0.297 0.703 0.677
O5 0.305 0.695 0.333
O6 0.308 0.692 0.003
O7 0.692 0.308 0.003
O8 0.695 0.305 0.333
O9 0.703 0.297 0.677
O10 0.797 0.797 0.177
O11 0.805 0.805 0.833
O12 0.808 0.808 0.503

## Properties
Magnetic moment = 0.00 μB per cell
V = 93.21 Å³/f.u.
Crystal system = tetragonal
VASP energy = -6.3731 eV/atom